Record 1
! PrAs2O | the Open Quantum Materials Database | PBE | optimized geometry; values from VASP
&SYSTEM
  ibrav = 0, nat = 8, ntyp = 3
/
ATOMIC_SPECIES
Pr 140.91 Pr.upf
As 74.92 As.upf
O 16.00 O.upf
ATOMIC_POSITIONS crystal
Pr 0.250 0.250 0.122
Pr 0.750 0.750 0.878
As 0.250 0.250 0.642
As 0.250 0.750 0.500
As 0.750 0.250 0.500
As 0.750 0.750 0.358
O 0.250 0.750 0.000
O 0.750 0.250 0.000
CELL_PARAMETERS angstrom
4.719 0.000 0.000
0.000 4.719 0.000
0.000 0.000 6.925
! Total magnetization (μB/atom): 0.001
! E above lowest polymorph (meV per atom): 0.0



Record 2
! PrAs2O | the Open Quantum Materials Database | PBE | optimized geometry; values from VASP
&SYSTEM
  ibrav = 0, nat = 8, ntyp = 3
/
ATOMIC_SPECIES
Pr 140.91 Pr.upf
As 74.92 As.upf
O 16.00 O.upf
ATOMIC_POSITIONS crystal
Pr 0.000 0.242 0.000
Pr 0.000 0.758 0.500
As 0.000 0.272 0.470
As 0.000 0.728 0.970
As 0.500 0.136 0.611
As 0.500 0.864 0.111
O 0.500 0.275 0.864
O 0.500 0.725 0.364
CELL_PARAMETERS angstrom
4.405 0.000 0.000
0.000 6.334 0.000
0.000 0.000 6.495
! Total magnetization (μB/atom): 0.001
! E above lowest polymorph (meV per atom): 174.8



Record 3
! PrAs2O | the Open Quantum Materials Database | PBE | optimized geometry; values from VASP
&SYSTEM
  ibrav = 0, nat = 8, ntyp = 3
/
ATOMIC_SPECIES
Pr 140.91 Pr.upf
As 74.92 As.upf
O 16.00 O.upf
ATOMIC_POSITIONS crystal
Pr 0.250 0.250 0.119
Pr 0.750 0.750 0.881
As 0.250 0.250 0.672
As 0.250 0.750 0.500
As 0.750 0.250 0.500
As 0.750 0.750 0.328
O 0.250 0.750 0.000
O 0.750 0.250 0.000
CELL_PARAMETERS angstrom
4.405 0.000 0.000
0.000 4.405 0.000
0.000 0.000 8.502
! Total magnetization (μB/atom): 0.002
! E above lowest polymorph (meV per atom): 60.0



Record 4
! Pr4AsO3 | the Open Quantum Materials Database | PBE | optimized geometry; values from VASP
&SYSTEM
  ibrav = 0, nat = 8, ntyp = 3
/
ATOMIC_SPECIES
Pr 140.91 Pr.upf
As 74.92 As.upf
O 16.00 O.upf
ATOMIC_POSITIONS crystal
Pr 0.000 0.500 0.500
Pr 0.232 0.232 0.000
Pr 0.500 0.000 0.500
Pr 0.768 0.768 0.000
As 0.500 0.500 0.000
O 0.000 0.000 0.000
O 0.250 0.750 0.500
O 0.750 0.250 0.500
CELL_PARAMETERS angstrom
-2.727 2.727 5.277
2.727 -2.727 5.277
2.727 2.727 -5.277
! Total magnetization (μB/atom): 0.002
! VASP energy (eV/atom): -7.00



Record 5
! PrAsO3 | the Open Quantum Materials Database | PBE | optimized geometry; values from VASP
&SYSTEM
  ibrav = 0, nat = 5, ntyp = 3
/
ATOMIC_SPECIES
Pr 140.91 Pr.upf
As 74.92 As.upf
O 16.00 O.upf
ATOMIC_POSITIONS crystal
Pr 0.000 0.000 0.000
As 0.500 0.500 0.605
O 0.000 0.500 0.704
O 0.500 0.000 0.704
O 0.500 0.500 0.193
CELL_PARAMETERS angstrom
4.088 0.000 0.000
0.000 4.088 0.000
0.000 0.000 4.441
! Total magnetization (μB/atom): 0.000
! VASP energy (eV/atom): -6.80



Record 6
! PrAsO3 | the Open Quantum Materials Database | PBE | optimized geometry; values from VASP
&SYSTEM
  ibrav = 0, nat = 10, ntyp = 3
/
ATOMIC_SPECIES
Pr 140.91 Pr.upf
As 74.92 As.upf
O 16.00 O.upf
ATOMIC_POSITIONS crystal
Pr 0.192 0.192 0.192
Pr 0.808 0.808 0.808
As 0.382 0.382 0.382
As 0.618 0.618 0.618
O 0.166 0.386 0.734
O 0.266 0.834 0.614
O 0.386 0.734 0.166
O 0.614 0.266 0.834
O 0.734 0.166 0.386
O 0.834 0.614 0.266
CELL_PARAMETERS angstrom
2.854 1.648 5.506
-2.854 1.648 5.506
0.000 -3.296 5.506
! Total magnetization (μB/atom): 0.000
! VASP energy (eV/atom): -7.03



Record 7
! PrAsO4 | the Open Quantum Materials Database | PBE | optimized geometry; values from VASP
&SYSTEM
  ibrav = 0, nat = 12, ntyp = 3
/
ATOMIC_SPECIES
Pr 140.91 Pr.upf
As 74.92 As.upf
O 16.00 O.upf
ATOMIC_POSITIONS crystal
Pr 0.375 0.125 0.250
Pr 0.625 0.875 0.750
As 0.125 0.375 0.750
As 0.875 0.625 0.250
O 0.068 0.205 0.366
O 0.202 0.568 0.363
O 0.295 0.161 0.863
O 0.339 0.702 0.134
O 0.661 0.298 0.866
O 0.705 0.839 0.137
O 0.798 0.432 0.637
O 0.932 0.795 0.634
CELL_PARAMETERS angstrom
-2.571 2.571 5.842
2.571 -2.571 5.842
2.571 2.571 -5.842
! Total magnetization (μB/atom): 0.000
! VASP energy (eV/atom): -7.18



Record 8
! Pr2AsO4 | the Open Quantum Materials Database | PBE | optimized geometry; values from VASP
&SYSTEM
  ibrav = 0, nat = 14, ntyp = 3
/
ATOMIC_SPECIES
Pr 140.91 Pr.upf
As 74.92 As.upf
O 16.00 O.upf
ATOMIC_POSITIONS crystal
Pr 0.000 0.000 0.000
Pr 0.000 0.000 0.500
Pr 0.000 0.500 0.000
Pr 0.500 0.000 0.000
As 0.375 0.375 0.375
As 0.625 0.625 0.625
O 0.253 0.253 0.253
O 0.253 0.253 0.741
O 0.253 0.741 0.253
O 0.259 0.747 0.747
O 0.741 0.253 0.253
O 0.747 0.259 0.747
O 0.747 0.747 0.259
O 0.747 0.747 0.747
CELL_PARAMETERS angstrom
0.000 4.883 4.883
4.883 0.000 4.883
4.883 4.883 0.000
! Total magnetization (μB/atom): 0.000
! VASP energy (eV/atom): -6.98



Record 9
! PrAsO3 | the Open Quantum Materials Database | PBE | optimized geometry; values from VASP
&SYSTEM
  ibrav = 0, nat = 20, ntyp = 3
/
ATOMIC_SPECIES
Pr 140.91 Pr.upf
As 74.92 As.upf
O 16.00 O.upf
ATOMIC_POSITIONS crystal
Pr 0.069 0.250 0.020
Pr 0.431 0.750 0.520
Pr 0.569 0.250 0.480
Pr 0.931 0.750 0.980
As 0.000 0.000 0.500
As 0.000 0.500 0.500
As 0.500 0.000 0.000
As 0.500 0.500 0.000
O 0.044 0.750 0.384
O 0.195 0.558 0.809
O 0.195 0.942 0.809
O 0.305 0.058 0.309
O 0.305 0.442 0.309
O 0.456 0.250 0.884
O 0.544 0.750 0.116
O 0.695 0.558 0.691
O 0.695 0.942 0.691
O 0.805 0.058 0.191
O 0.805 0.442 0.191
O 0.956 0.250 0.616
CELL_PARAMETERS angstrom
5.973 0.000 0.000
0.000 8.070 0.000
0.000 0.000 5.595
! Total magnetization (μB/atom): 0.000
! VASP energy (eV/atom): -6.94



Record 10
! PrAs2O | the Open Quantum Materials Database | PBE | optimized geometry; values from VASP
&SYSTEM
  ibrav = 0, nat = 8, ntyp = 3
/
ATOMIC_SPECIES
Pr 140.91 Pr.upf
As 74.92 As.upf
O 16.00 O.upf
ATOMIC_POSITIONS crystal
Pr 0.250 0.750 0.000
Pr 0.750 0.250 0.000
As 0.250 0.250 0.223
As 0.250 0.250 0.552
As 0.750 0.750 0.448
As 0.750 0.750 0.777
O 0.250 0.750 0.500
O 0.750 0.250 0.500
CELL_PARAMETERS angstrom
4.720 0.000 0.000
0.000 4.720 0.000
0.000 0.000 7.446
! Total magnetization (μB/atom): 0.000
! E above lowest polymorph (meV per atom): 1072.5



Record 11
! PrAsO3 | the Open Quantum Materials Database | PBE | optimized geometry; values from VASP
&SYSTEM
  ibrav = 0, nat = 10, ntyp = 3
/
ATOMIC_SPECIES
Pr 140.91 Pr.upf
As 74.92 As.upf
O 16.00 O.upf
ATOMIC_POSITIONS crystal
Pr 0.250 0.250 0.250
Pr 0.750 0.750 0.750
As 0.000 0.000 0.000
As 0.500 0.500 0.500
O 0.151 0.750 0.349
O 0.250 0.651 0.849
O 0.349 0.151 0.750
O 0.651 0.849 0.250
O 0.750 0.349 0.151
O 0.849 0.250 0.651
CELL_PARAMETERS angstrom
2.911 1.681 4.520
-2.911 1.681 4.520
0.000 -3.362 4.520
! Total magnetization (μB/atom): 0.000
! VASP energy (eV/atom): -6.88



Record 12
! PrAsPtO | the Open Quantum Materials Database | PBE | optimized geometry; values from VASP
&SYSTEM
  ibrav = 0, nat = 8, ntyp = 4
/
ATOMIC_SPECIES
Pr 140.91 Pr.upf
As 74.92 As.upf
Pt 195.08 Pt.upf
O 16.00 O.upf
ATOMIC_POSITIONS crystal
Pr 0.000 0.243 0.000
Pr 0.000 0.757 0.500
As 0.500 0.240 0.667
As 0.500 0.760 0.167
Pt 0.500 0.261 0.334
Pt 0.500 0.739 0.834
O 0.000 0.259 0.334
O 0.000 0.741 0.834
CELL_PARAMETERS angstrom
4.693 0.000 0.000
0.000 4.255 0.000
0.000 0.000 7.350
! Total magnetization (μB/atom): 0.001
! VASP energy (eV/atom): -6.53



Record 13
! PrAsPtO | the Open Quantum Materials Database | PBE | optimized geometry; values from VASP
&SYSTEM
  ibrav = 0, nat = 8, ntyp = 4
/
ATOMIC_SPECIES
Pr 140.91 Pr.upf
As 74.92 As.upf
Pt 195.08 Pt.upf
O 16.00 O.upf
ATOMIC_POSITIONS crystal
Pr 0.000 0.139 0.000
Pr 0.000 0.861 0.500
As 0.000 0.468 0.427
As 0.000 0.532 0.927
Pt 0.500 0.264 0.509
Pt 0.500 0.736 0.009
O 0.500 0.028 0.721
O 0.500 0.972 0.221
CELL_PARAMETERS angstrom
3.404 0.000 0.000
0.000 8.028 0.000
0.000 0.000 5.471
! Total magnetization (μB/atom): 0.000
! VASP energy (eV/atom): -6.46



Record 14
! PrAsPtO | the Open Quantum Materials Database | PBE | optimized geometry; values from VASP
&SYSTEM
  ibrav = 0, nat = 8, ntyp = 4
/
ATOMIC_SPECIES
Pr 140.91 Pr.upf
As 74.92 As.upf
Pt 195.08 Pt.upf
O 16.00 O.upf
ATOMIC_POSITIONS crystal
Pr 0.206 0.794 0.000
Pr 0.794 0.206 0.000
As 0.212 0.212 0.569
As 0.633 0.633 0.394
Pt 0.327 0.327 0.105
Pt 0.708 0.708 0.920
O 0.214 0.911 0.521
O 0.911 0.214 0.521
CELL_PARAMETERS angstrom
4.015 -4.642 0.000
4.015 4.642 0.000
-0.829 0.000 4.472
! Total magnetization (μB/atom): 0.001
! VASP energy (eV/atom): -6.51



Record 15
! PrReAsO | the Open Quantum Materials Database | PBE | optimized geometry; values from VASP
&SYSTEM
  ibrav = 0, nat = 8, ntyp = 4
/
ATOMIC_SPECIES
Pr 140.91 Pr.upf
Re 186.21 Re.upf
As 74.92 As.upf
O 16.00 O.upf
ATOMIC_POSITIONS crystal
Pr 0.250 0.750 0.000
Pr 0.750 0.250 0.000
Re 0.250 0.250 0.384
Re 0.750 0.750 0.616
As 0.250 0.250 0.716
As 0.750 0.750 0.284
O 0.250 0.750 0.500
O 0.750 0.250 0.500
CELL_PARAMETERS angstrom
4.291 0.000 0.000
0.000 4.291 0.000
0.000 0.000 7.372
! Total magnetization (μB/atom): 0.177
! E above lowest polymorph (meV per atom): 1747.0



Record 16
! PrReAsO | the Open Quantum Materials Database | PBE | optimized geometry; values from VASP
&SYSTEM
  ibrav = 0, nat = 8, ntyp = 4
/
ATOMIC_SPECIES
Pr 140.91 Pr.upf
Re 186.21 Re.upf
As 74.92 As.upf
O 16.00 O.upf
ATOMIC_POSITIONS crystal
Pr 0.000 0.215 0.000
Pr 0.000 0.785 0.500
Re 0.500 0.406 0.628
Re 0.500 0.594 0.128
As 0.000 0.272 0.499
As 0.000 0.728 0.999
O 0.500 0.322 0.948
O 0.500 0.678 0.448
CELL_PARAMETERS angstrom
4.433 0.000 0.000
0.000 6.217 0.000
0.000 0.000 6.041
! Total magnetization (μB/atom): 0.000
! E above lowest polymorph (meV per atom): 670.8



Record 17
! PrReAsO | the Open Quantum Materials Database | PBE | optimized geometry; values from VASP
&SYSTEM
  ibrav = 0, nat = 8, ntyp = 4
/
ATOMIC_SPECIES
Pr 140.91 Pr.upf
Re 186.21 Re.upf
As 74.92 As.upf
O 16.00 O.upf
ATOMIC_POSITIONS crystal
Pr 0.000 0.249 0.000
Pr 0.000 0.751 0.500
Re 0.500 0.251 0.332
Re 0.500 0.749 0.832
As 0.500 0.249 0.666
As 0.500 0.751 0.166
O 0.000 0.251 0.333
O 0.000 0.749 0.833
CELL_PARAMETERS angstrom
3.996 0.000 0.000
0.000 4.473 0.000
0.000 0.000 7.741
! Total magnetization (μB/atom): 0.002
! E above lowest polymorph (meV per atom): 415.3



Record 18
! PrReAsO | the Open Quantum Materials Database | PBE | optimized geometry; values from VASP
&SYSTEM
  ibrav = 0, nat = 8, ntyp = 4
/
ATOMIC_SPECIES
Pr 140.91 Pr.upf
Re 186.21 Re.upf
As 74.92 As.upf
O 16.00 O.upf
ATOMIC_POSITIONS crystal
Pr 0.250 0.250 0.137
Pr 0.750 0.750 0.863
Re 0.250 0.750 0.500
Re 0.750 0.250 0.500
As 0.250 0.250 0.671
As 0.750 0.750 0.329
O 0.250 0.750 0.000
O 0.750 0.250 0.000
CELL_PARAMETERS angstrom
4.027 0.000 0.000
0.000 4.027 0.000
0.000 0.000 8.914
! Total magnetization (μB/atom): 0.001
! E above lowest polymorph (meV per atom): 0.0



Record 19
! Pr3Sb2As3O12 | the Open Quantum Materials Database | PBE | optimized geometry; values from VASP
&SYSTEM
  ibrav = 0, nat = 80, ntyp = 4
/
ATOMIC_SPECIES
Pr 140.91 Pr.upf
Sb 121.76 Sb.upf
As 74.92 As.upf
O 16.00 O.upf
ATOMIC_POSITIONS crystal
Pr 0.125 0.250 0.375
Pr 0.125 0.375 0.750
Pr 0.250 0.375 0.125
Pr 0.250 0.875 0.625
Pr 0.375 0.125 0.250
Pr 0.375 0.750 0.125
Pr 0.625 0.250 0.875
Pr 0.625 0.875 0.750
Pr 0.750 0.125 0.375
Pr 0.750 0.625 0.875
Pr 0.875 0.625 0.250
Pr 0.875 0.750 0.625
Sb 0.000 0.000 0.000
Sb 0.000 0.000 0.500
Sb 0.000 0.500 0.000
Sb 0.000 0.500 0.500
Sb 0.500 0.000 0.000
Sb 0.500 0.000 0.500
Sb 0.500 0.500 0.000
Sb 0.500 0.500 0.500
As 0.125 0.750 0.875
As 0.125 0.875 0.250
As 0.250 0.125 0.875
As 0.250 0.625 0.375
As 0.375 0.250 0.625
As 0.375 0.625 0.750
As 0.625 0.375 0.250
As 0.625 0.750 0.375
As 0.750 0.375 0.625
As 0.750 0.875 0.125
As 0.875 0.125 0.750
As 0.875 0.250 0.125
O 0.038 0.219 0.132
O 0.038 0.318 0.906
O 0.088 0.719 0.682
O 0.088 0.868 0.406
O 0.094 0.632 0.412
O 0.094 0.962 0.682
O 0.132 0.038 0.219
O 0.132 0.594 0.912
O 0.182 0.219 0.588
O 0.182 0.462 0.594
O 0.219 0.132 0.038
O 0.219 0.588 0.182
O 0.281 0.318 0.912
O 0.281 0.462 0.368
O 0.318 0.906 0.038
O 0.318 0.912 0.281
O 0.368 0.281 0.462
O 0.368 0.588 0.906
O 0.406 0.088 0.868
O 0.406 0.818 0.538
O 0.412 0.094 0.632
O 0.412 0.818 0.781
O 0.462 0.368 0.281
O 0.462 0.594 0.182
O 0.538 0.406 0.818
O 0.538 0.632 0.719
O 0.588 0.182 0.219
O 0.588 0.906 0.368
O 0.594 0.182 0.462
O 0.594 0.912 0.132
O 0.632 0.412 0.094
O 0.632 0.719 0.538
O 0.682 0.088 0.719
O 0.682 0.094 0.962
O 0.719 0.538 0.632
O 0.719 0.682 0.088
O 0.781 0.412 0.818
O 0.781 0.868 0.962
O 0.818 0.538 0.406
O 0.818 0.781 0.412
O 0.868 0.406 0.088
O 0.868 0.962 0.781
O 0.906 0.038 0.318
O 0.906 0.368 0.588
O 0.912 0.132 0.594
O 0.912 0.281 0.318
O 0.962 0.682 0.094
O 0.962 0.781 0.868
CELL_PARAMETERS angstrom
-6.682 6.682 6.682
6.682 -6.682 6.682
6.682 6.682 -6.682
! Total magnetization (μB/atom): 0.000
! VASP energy (eV/atom): -6.60



Record 20
! PrSiAsO | the Open Quantum Materials Database | PBE | optimized geometry; values from VASP
&SYSTEM
  ibrav = 0, nat = 8, ntyp = 4
/
ATOMIC_SPECIES
Pr 140.91 Pr.upf
Si 28.09 Si.upf
As 74.92 As.upf
O 16.00 O.upf
ATOMIC_POSITIONS crystal
Pr 0.250 0.250 0.126
Pr 0.750 0.750 0.874
Si 0.250 0.750 0.500
Si 0.750 0.250 0.500
As 0.250 0.250 0.666
As 0.750 0.750 0.334
O 0.250 0.750 0.000
O 0.750 0.250 0.000
CELL_PARAMETERS angstrom
4.215 0.000 0.000
0.000 4.215 0.000
0.000 0.000 8.900
! Total magnetization (μB/atom): 0.000
! E above lowest polymorph (meV per atom): 99.2